(1)
Crystalline TaFe2HPt at its relaxed geometry, computed with PBE-GGA.

Computed properties:
- offset from the most stable computed form (eV/f.u.) = 0.00

POSCAR file:
```
TaFe2HPt
1.0
3.794 0.000 0.000
0.000 3.794 0.000
0.000 0.000 3.869
Ta Fe H Pt
1 2 1 1
Cartesian
0.000 0.000 0.000 Ta
0.000 1.897 1.935 Fe
1.897 0.000 1.935 Fe
0.000 0.000 1.935 H
1.897 1.897 0.000 Pt
```



(2)
Crystalline Hf4Zr2Tl at its relaxed geometry, computed with PBE-GGA.

Computed properties:
- offset from the most stable computed form (eV/f.u.) = 0.00
- ΔH_f (0 K) (eV/f.u.) = 2.4

POSCAR file:
```
Hf4Zr2Tl
1.0
-3.137 3.137 8.669
3.137 -3.137 8.669
3.137 3.137 -8.669
Hf Zr Tl
8 4 2
Cartesian
4.159 1.022 -2.574 Hf
1.022 2.114 -2.574 Hf
4.159 1.022 2.574 Hf
1.022 2.114 2.574 Hf
2.114 1.022 6.095 Hf
-1.022 2.114 6.095 Hf
2.114 1.022 11.243 Hf
-1.022 2.114 11.243 Hf
2.193 0.943 0.000 Zr
2.193 -0.943 8.669 Zr
0.943 4.080 0.000 Zr
0.943 2.193 8.669 Zr
0.000 0.000 4.334 Tl
0.000 0.000 13.003 Tl
```



Number 1: V 11.14 Å³ per atom, total magnetization 0.0003 μB/atom, ρ 14.6 Mg/m³. Number 2: V 24.37 Å³ per atom, total magnetization 0.0000 μB/atom, ρ 10.7 Mg/m³.